Record 1
Ti3AlTl: relaxed, PBE-GGA.

Formation energy ... 1.201 eV/atom
Total magnetic moment ... 2.0 μB/f.u.
Calculated total energy ... -23.788 eV per formula unit
V ... 25.45 Å³ per atom
Relative energy among the computed polymorphs ... 61.2 kJ/mol of atoms

Cell lengths 5.0298, 5.0298, 5.0298 Å; angles 90.00, 90.00, 90.00 degrees
Last column: nearest neighbours and their distance in Å.
Element x y z (fractional)
1 Ti 0.0000 0.0000 0.5000  2 Tl 2.51
2 Ti 0.0000 0.5000 0.0000  2 Tl 2.51
3 Ti 0.5000 0.0000 0.0000  2 Tl 2.51
4 Al 0.5000 0.5000 0.5000  12 Ti 3.56
5 Tl 0.0000 0.0000 0.0000  6 Ti 2.51



Record 2
Ti2AlTl: relaxed, PBE-GGA.

Formation energy ... 0.286 eV/atom
Total magnetic moment ... 0.0 μB/f.u.
Calculated total energy ... -20.753 eV per formula unit
V ... 19.73 Å³ per atom

Cell lengths 5.9893, 5.9893, 5.9893 Å; angles 102.96, 102.96, 123.46 degrees
Last column: nearest neighbours and their distance in Å.
Element x y z (fractional)
1 Ti 0.1163 0.1250 0.4913  2 Al 2.69, 2 Tl 2.78, 2 Ti 2.84
2 Ti 0.3750 0.8837 0.0087  2 Al 2.69, 2 Tl 2.78, 2 Ti 2.84
3 Ti 0.6337 0.6250 0.5087  2 Al 2.69, 2 Tl 2.78, 2 Ti 2.84
4 Ti 0.8750 0.3663 0.9913  2 Al 2.69, 2 Tl 2.78, 2 Ti 2.84
5 Al 0.0000 0.0000 0.0000  4 Ti 2.69, 2 Tl 2.84
6 Al 0.7500 0.2500 0.5000  4 Ti 2.69, 2 Tl 2.84
7 Tl 0.2500 0.7500 0.5000  4 Ti 2.78, 2 Al 2.84
8 Tl 0.5000 0.5000 0.0000  4 Ti 2.78, 2 Al 2.84



Record 3
Ti4AlTl: relaxed, PBE-GGA.

Formation energy ... -0.106 eV/atom
Total magnetic moment ... 0.0 μB/f.u.
Calculated total energy ... -38.324 eV per formula unit
V ... 17.77 Å³ per atom
Relative energy among the computed polymorphs ... 0.0 kJ/mol of atoms

Cell lengths 5.2033, 5.2033, 7.5468 Å; angles 111.10, 111.10, 34.29 degrees
Last column: nearest neighbours and their distance in Å.
Element x y z (fractional)
1 Ti 0.1688 0.1688 0.3237  2 Al 2.84, 7 Ti 2.84-3.11, 3 Tl 2.94-3.05
2 Ti 0.1687 0.1687 0.8434  6 Ti 2.77-3.07, 3 Al 2.84-3.05, 2 Tl 2.93
3 Ti 0.8313 0.8313 0.1566  6 Ti 2.77-3.07, 3 Al 2.84-3.05, 2 Tl 2.93
4 Ti 0.8312 0.8312 0.6763  2 Al 2.84, 7 Ti 2.84-3.11, 3 Tl 2.94-3.05
5 Al 0.5000 0.5000 0.0000  10 Ti 2.84-3.05, 2 Al 3.07
6 Tl 0.5000 0.5000 0.5000  10 Ti 2.93-3.05, 2 Tl 3.07



Record 4
Ti12Al3Tl: relaxed, PBE-GGA.

Formation energy ... -0.168 eV/atom
Total magnetic moment ... 0.0 μB/f.u.
Calculated total energy ... -111.014 eV per formula unit
V ... 17.04 Å³ per atom

Cell lengths 5.1470, 5.1473, 10.2897 Å; angles 90.00, 90.00, 90.00 degrees
Last column: nearest neighbours and their distance in Å.
Element x y z (fractional)
1 Ti 0.0000 0.0000 0.1237  2 Ti 2.55
2 Ti 0.0000 0.0000 0.3713  2 Ti 2.55-2.65
3 Ti 0.0000 0.0000 0.6287  2 Ti 2.55-2.65
4 Ti 0.0000 0.0000 0.8763  2 Ti 2.55
5 Ti 0.2443 0.5000 0.5000  2 Ti 2.52-2.63
6 Ti 0.2512 0.5000 0.0000  2 Ti 2.56-2.59
7 Ti 0.5000 0.2523 0.2447  2 Ti 2.55-2.60, 1 Al 2.83
8 Ti 0.5000 0.2523 0.7553  2 Ti 2.55-2.60, 1 Al 2.83
9 Ti 0.5000 0.7477 0.2447  2 Ti 2.55-2.60, 1 Al 2.83
10 Ti 0.5000 0.7477 0.7553  2 Ti 2.55-2.60, 1 Al 2.83
11 Ti 0.7488 0.5000 0.0000  2 Ti 2.56-2.59
12 Ti 0.7557 0.5000 0.5000  2 Ti 2.52-2.63
13 Al 0.0000 0.5000 0.2502  12 Ti 2.86-2.88
14 Al 0.0000 0.5000 0.7498  12 Ti 2.86-2.88
15 Al 0.5000 0.0000 0.0000  12 Ti 2.83-2.87
16 Tl 0.5000 0.0000 0.5000  12 Ti 2.89-2.93



Record 5
Ti2AlTl2: relaxed, PBE-GGA.

Formation energy ... 0.153 eV/atom
Total magnetic moment ... 1.0 μB/f.u.
Calculated total energy ... -23.502 eV per formula unit
V ... 20.92 Å³ per atom

Cell lengths 6.9100, 6.9100, 4.3817 Å; angles 90.00, 90.00, 90.00 degrees
Last column: nearest neighbours and their distance in Å.
Element x y z (fractional)
1 Ti 0.1442 0.3558 0.0000  2 Al 2.65, 1 Ti 2.82, 2 Tl 2.88
2 Ti 0.3558 0.8558 0.0000  2 Al 2.65, 1 Ti 2.82, 2 Tl 2.88
3 Ti 0.6442 0.1442 0.0000  2 Al 2.65, 1 Ti 2.82, 2 Tl 2.88
4 Ti 0.8558 0.6442 0.0000  2 Al 2.65, 1 Ti 2.82, 2 Tl 2.88
5 Al 0.0000 0.0000 0.0000  4 Ti 2.65
6 Al 0.5000 0.5000 0.0000  4 Ti 2.65
7 Tl 0.1645 0.6645 0.5000  6 Ti 2.88-3.06, 1 Tl 3.22
8 Tl 0.3355 0.1645 0.5000  6 Ti 2.88-3.06, 1 Tl 3.22
9 Tl 0.6645 0.8355 0.5000  6 Ti 2.88-3.06, 1 Tl 3.22
10 Tl 0.8355 0.3355 0.5000  6 Ti 2.88-3.06, 1 Tl 3.22



Record 6
Ti2AlTl: relaxed, PBE-GGA.

Formation energy ... -0.094 eV/atom
Total magnetic moment ... 0.0 μB/f.u.
Calculated total energy ... -22.273 eV per formula unit
V ... 17.96 Å³ per atom

Cell lengths 4.1209, 4.1209, 4.2300 Å; angles 90.00, 90.00, 90.00 degrees
Last column: nearest neighbours and their distance in Å.
Element x y z (fractional)
1 Ti 0.0000 0.5000 0.0000  4 Ti 2.91, 4 Tl 2.95, 4 Al 2.95
2 Ti 0.5000 0.0000 0.0000  4 Ti 2.91, 4 Tl 2.95, 4 Al 2.95
3 Al 0.0000 0.0000 0.5000  4 Tl 2.91, 8 Ti 2.95
4 Tl 0.5000 0.5000 0.5000  4 Al 2.91, 8 Ti 2.95



Record 7
Ti2AlTl: relaxed, PBE-GGA.

Formation energy ... -0.130 eV/atom
Total magnetic moment ... 0.0 μB/f.u.
Calculated total energy ... -22.421 eV per formula unit
V ... 18.09 Å³ per atom

Cell lengths 2.9417, 2.9417, 8.3606 Å; angles 90.00, 90.00, 90.00 degrees
Last column: nearest neighbours and their distance in Å.
Element x y z (fractional)
1 Ti 0.0000 0.0000 0.2254  4 Al 2.81, 4 Ti 2.94, 4 Tl 3.10
2 Ti 0.0000 0.0000 0.7746  4 Al 2.81, 4 Ti 2.94, 4 Tl 3.10
3 Al 0.5000 0.5000 0.0000  8 Ti 2.81, 4 Al 2.94
4 Tl 0.5000 0.5000 0.5000  4 Tl 2.94, 8 Ti 3.10



Record 8
Ti6Al2Tl: relaxed, PBE-GGA.

Formation energy ... 0.269 eV/atom
Total magnetic moment ... 0.0 μB/f.u.
Calculated total energy ... -54.803 eV per formula unit
V ... 18.58 Å³ per atom

Cell lengths 7.2884, 7.2884, 7.2884 Å; angles 142.18, 134.64, 60.49 degrees
Last column: nearest neighbours and their distance in Å.
Element x y z (fractional)
1 Ti 0.0578 0.8111 0.2466  1 Ti 2.38
2 Ti 0.2385 0.0000 0.2385  2 Ti 2.38
3 Ti 0.4355 0.1889 0.2466  1 Ti 2.38
4 Ti 0.5645 0.8111 0.7534  1 Ti 2.38
5 Ti 0.7615 0.0000 0.7615  2 Ti 2.38
6 Ti 0.9422 0.1889 0.7534  1 Ti 2.38
7 Al 0.1129 0.6129 0.5000  1 Al 2.84, 10 Ti 2.87-3.07, 2 Tl 3.15
8 Al 0.8871 0.3871 0.5000  1 Al 2.84, 10 Ti 2.87-3.07, 2 Tl 3.15
9 Tl 0.5000 0.5000 0.0000  4 Ti 2.78